[1]
The following is a DFT calculation (PBE) of Sm2Al5Cu3 after structural relaxation.

Lattice parameters (Å, degrees): 11.9550 11.8779 5.9468 90.00 119.74 90.00
Space group C2/c (No. 15)
Asymmetric unit:
Sm: 0.2430 0.1307 0.2428 [8 per cell]
Al: 0.0000 0.0000 0.2500 [4 per cell]
Al: 0.0000 0.2538 0.2500 [4 per cell]
Al: 0.0000 0.2544 0.7500 [4 per cell]
Al: 0.1445 0.3905 0.1449 [8 per cell]
Cu: 0.0000 0.4995 0.7500 [4 per cell]
Cu: 0.1243 0.1274 0.6243 [8 per cell]

Output
distance to the lowest polymorph of the same formula = 0 meV/atom

=====

[2]
The following is a DFT calculation (PBE) of SmAl2Cu3 after structural relaxation.

Lattice parameters (Å, degrees): 9.6822 7.9921 5.2664 90.00 90.00 90.00
Space group Cmcm (No. 63)
Asymmetric unit:
Sm: 0.0000 0.1851 0.2500 [4 per cell]
Al: 0.2126 0.5000 0.0000 [8 per cell]
Cu: 0.0000 0.4395 0.7500 [4 per cell]
Cu: 0.1751 0.2189 0.7500 [8 per cell]

Output
distance to the lowest polymorph of the same formula = 0 meV/atom

=====

[3]
The following is a DFT calculation (PBE) of SmAl3Cu8 after structural relaxation.

Lattice parameters (Å, degrees): 4.9162 4.9162 8.3099 90.00 90.00 120.00
Space group P3m1 (No. 156)
Asymmetric unit:
Sm: 0.0000 0.0000 0.0000 [1 per cell]
Al: 0.0000 0.0000 0.3854 [1 per cell]
Al: 0.6667 0.3333 0.4811 [1 per cell]
Al: 0.6667 0.3333 0.8237 [1 per cell]
Cu: 0.1643 0.3286 0.6711 [3 per cell]
Cu: 0.3333 0.6667 0.4327 [1 per cell]
Cu: 0.3333 0.6667 0.9222 [1 per cell]
Cu: 0.5024 0.0049 0.1972 [3 per cell]

=====

[4]
The following is a DFT calculation (PBE) of Sm2Al9Cu6 after structural relaxation.

Lattice parameters (Å, degrees): 5.3564 5.3564 12.2885 90.00 90.00 120.00
Space group P6/mmm (No. 191)
Asymmetric unit:
Sm: 0.0000 0.0000 0.1652 [2 per cell]
Al: 0.0000 0.5000 0.0000 [3 per cell]
Al: 0.0000 0.5000 0.3372 [6 per cell]
Cu: 0.3333 0.6667 0.1683 [4 per cell]
Cu: 0.3333 0.6667 0.5000 [2 per cell]

=====

[5]
The following is a DFT calculation (PBE) of SmAl4Cu6 after structural relaxation.

Lattice parameters (Å, degrees): 6.9069 6.9069 4.0742 90.00 90.00 120.00
Space group P-6m2 (No. 187)
Asymmetric unit:
Sm: 0.0000 0.0000 0.0000 [1 per cell]
Al: 0.3333 0.6667 0.0000 [1 per cell]
Al: 0.3957 0.1979 0.5000 [3 per cell]
Cu: 0.2095 0.4190 0.5000 [3 per cell]
Cu: 0.5396 0.0791 0.0000 [3 per cell]

=====

[6]
The following is a DFT calculation (PBE) of SmAl6Cu4 after structural relaxation.

Lattice parameters (Å, degrees): 7.0798 7.0798 4.0168 90.00 90.00 120.00
Space group P-6m2 (No. 187)
Asymmetric unit:
Sm: 0.0000 0.0000 0.0000 [1 per cell]
Al: 0.0680 0.5340 0.0000 [3 per cell]
Al: 0.4021 0.2011 0.5000 [3 per cell]
Cu: 0.2076 0.4152 0.5000 [3 per cell]
Cu: 0.6667 0.3333 0.0000 [1 per cell]

=====

Number 1: E_form -43.1 kJ/mol of atoms. Number 2: E_form -32.4 kJ/mol of atoms. Number 3: E_form -15.2 kJ/mol of atoms. Number 4: E_form -23.3 kJ/mol of atoms. Number 5: E_form -25.0 kJ/mol of atoms. Number 6: E_form -31.9 kJ/mol of atoms.